Material: Ce2SmSb
Method: DFT, PBE-GGA
State: optimized geometry

a b c (Å): 5.4541 5.4541 5.4555
angles (deg): 60.01 60.01 60.00
Each line ends with the local moment (μB).
Fractional coordinates of all 4 atoms:
Sm  0.0000  0.0000  0.0000  0.31
Sb  0.5000  0.5000  0.5000  -0.01
Ce  0.7499  0.7499  0.7502  0.71
Ce  0.2501  0.2501  0.2498  0.71

Results
uncorrected formation energy = -244.5 meV per atom
E above lowest polymorph = 0.355 eV per atom
total moment = 2.245 μB/f.u.